(1)
Pa2AsH2Se (PBE-GGA, relaxed); raw total energy = -6.572 eV per atom; volume = 100.4 Å³/f.u.; total magnetic moment = 0.8 μB/f.u.; SG = No. 164; ρ = 10.22 g cm⁻³; Fermi-level density of states = 8.19 states/eV/f.u.
1.0
3.874 0.000 0.000
-1.937 3.355 0.000
0.000 0.000 7.723
Pa As H Se
2 1 2 1
Cartesian
0.000 2.237 1.875 Pa
1.937 1.118 5.848 Pa
0.000 0.000 0.000 As
0.000 2.237 5.795 H
1.937 1.118 1.928 H
0.000 0.000 3.861 Se

(2)
RbCrFe3 (PBE-GGA, relaxed); raw total energy = -5.819 eV per atom; volume = 99.4 Å³/f.u.; total magnetic moment = 5.8 μB/f.u.; SG = No. 221; ρ = 5.10 g cm⁻³; Fermi-level density of states = 6.72 states/eV/f.u.; formation energy from the elements = 1.3764 eV per atom
1.0
4.632 0.000 0.000
0.000 4.632 0.000
0.000 0.000 4.632
Rb Cr Fe
1 1 3
Cartesian
0.000 0.000 0.000 Rb
2.316 2.316 2.316 Cr
0.000 2.316 2.316 Fe
2.316 0.000 2.316 Fe
2.316 2.316 0.000 Fe

(3)
LaPm4Pt2 (PBE-GGA, relaxed); raw total energy = -5.761 eV per atom; volume = 203.1 Å³/f.u.; total magnetic moment = 0.0 μB/f.u.; SG = No. 11; ρ = 9.07 g cm⁻³; Fermi-level density of states = 8.40 states/eV/f.u.; formation energy from the elements = -0.6166 eV per atom
1.0
7.909 0.000 0.000
0.000 6.749 0.000
-3.240 0.000 7.611
La Pm Pt
2 8 4
Cartesian
1.069 1.687 0.186 La
3.600 5.062 7.426 La
-1.139 1.687 2.942 Pm
0.873 5.062 2.677 Pm
0.734 0.062 5.814 Pm
0.734 3.313 5.814 Pm
3.936 3.436 1.797 Pm
3.936 6.687 1.797 Pm
3.796 1.687 4.934 Pm
5.809 5.062 4.670 Pm
-1.177 5.062 7.561 Pt
1.667 1.687 3.038 Pt
3.002 5.062 4.573 Pt
5.846 1.687 0.050 Pt

(4)
SrLiTe2S4 (PBE-GGA, relaxed); raw total energy = -3.992 eV per atom; volume = 193.6 Å³/f.u.; total magnetic moment = 0.0 μB/f.u.; raw formation energy = -0.694 eV per atom; SG = No. 121; ρ = 4.10 g cm⁻³; Fermi-level density of states = 1.79 states/eV/f.u.
1.0
-3.605 3.605 3.725
3.605 -3.605 3.725
3.605 3.605 -3.725
Sr Li Te S
1 1 2 4
Cartesian
0.000 0.000 0.000 Sr
0.000 0.000 3.725 Li
3.605 0.000 1.863 Te
0.000 3.605 1.863 Te
2.134 2.134 -1.380 S
1.470 -1.470 5.105 S
1.470 1.470 2.346 S
-1.470 1.470 5.105 S

(5)
Cs2Hg2O3 (PBE-GGA, relaxed); raw total energy = -3.146 eV per atom; volume = 169.3 Å³/f.u.; total magnetic moment = 0.0 μB/f.u.; raw formation energy = -0.691 eV per atom; SG = No. 12; ρ = 7.01 g cm⁻³; Fermi-level density of states = 0.46 states/eV/f.u.
1.0
6.473 -1.983 0.000
6.473 1.983 0.000
-1.835 0.000 6.597
Cs Hg O
2 2 3
Cartesian
0.913 0.000 2.045 Cs
10.198 0.000 4.552 Cs
4.370 0.000 0.808 Hg
6.741 0.000 5.789 Hg
1.149 0.000 5.181 O
6.473 0.000 0.000 O
9.962 0.000 1.416 O

(6)
Rb5B2Se6 (PBE-GGA, relaxed); raw total energy = -3.744 eV per atom; volume = 459.5 Å³/f.u.; total magnetic moment = 1.0 μB/f.u.; raw formation energy = -0.737 eV per atom; SG = No. 15; ρ = 3.33 g cm⁻³; Fermi-level density of states = 9.12 states/eV/f.u.
1.0
6.575 -4.130 0.000
6.575 4.130 0.000
-3.476 0.000 16.919
Rb B Se
10 4 12
Cartesian
3.968 3.393 12.689 Rb
5.758 2.167 0.080 Rb
3.535 0.440 4.869 Rb
5.655 2.167 8.379 Rb
1.797 -0.440 13.329 Rb
7.877 0.440 3.590 Rb
4.020 -2.167 8.540 Rb
6.139 -0.440 12.050 Rb
3.917 -2.167 16.839 Rb
5.706 -3.393 4.230 Rb
1.526 1.266 9.685 B
3.264 -1.266 1.225 B
6.411 1.266 15.694 B
8.149 -1.266 7.234 B
-0.136 0.589 10.693 Se
1.496 0.760 7.616 Se
1.602 -0.589 2.234 Se
-0.242 -0.760 16.076 Se
3.311 0.696 10.519 Se
5.049 -0.696 2.059 Se
4.626 0.696 14.860 Se
6.364 -0.696 6.400 Se
9.916 0.760 0.844 Se
8.073 0.589 14.685 Se
8.178 -0.760 9.303 Se
9.811 -0.589 6.226 Se

(7)
Cs4Ac3CuO8 (PBE-GGA, relaxed); raw total energy = -5.694 eV per atom; volume = 358.1 Å³/f.u.; total magnetic moment = 0.0 μB/f.u.; raw formation energy = -1.975 eV per atom; SG = No. 12; ρ = 6.51 g cm⁻³
1.0
6.885 -3.650 0.000
6.885 3.650 0.000
-3.443 0.000 7.126
Cs Ac Cu O
4 3 1 8
Cartesian
0.000 0.000 0.000 Cs
3.442 1.825 0.000 Cs
3.442 -1.825 0.000 Cs
6.885 0.000 0.000 Cs
-1.722 0.000 3.563 Ac
1.721 1.825 3.563 Ac
1.721 -1.825 3.563 Ac
5.163 0.000 3.563 Cu
0.470 0.000 4.815 O
1.938 0.000 1.941 O
4.189 1.423 4.495 O
6.138 1.423 2.631 O
4.189 -1.423 4.495 O
6.138 -1.423 2.631 O
8.389 0.000 5.184 O
9.857 0.000 2.311 O

(8)
CeDyPd14 (PBE-GGA, relaxed); raw total energy = -5.626 eV per atom; volume = 265.2 Å³/f.u.; total magnetic moment = 0.0 μB/f.u.; SG = No. 123; ρ = 11.22 g cm⁻³; Fermi-level density of states = 18.46 states/eV/f.u.; formation energy from the elements = -0.4234 eV per atom
1.0
5.806 0.000 0.000
0.000 5.806 0.000
0.000 0.000 7.868
Ce Dy Pd
1 1 14
Cartesian
0.000 0.000 0.000 Ce
2.903 2.903 0.000 Dy
0.000 0.000 3.934 Pd
0.000 2.903 0.000 Pd
0.000 2.903 3.934 Pd
1.446 1.446 2.025 Pd
1.446 1.446 5.843 Pd
1.446 4.360 2.025 Pd
1.446 4.360 5.843 Pd
2.903 0.000 0.000 Pd
2.903 0.000 3.934 Pd
2.903 2.903 3.934 Pd
4.360 1.446 2.025 Pd
4.360 1.446 5.843 Pd
4.360 4.360 2.025 Pd
4.360 4.360 5.843 Pd

(9)
GeSbPd2 (PBE-GGA, relaxed); raw total energy = -5.087 eV per atom; volume = 77.5 Å³/f.u.; total magnetic moment = 0.0 μB/f.u.; raw formation energy = -0.306 eV per atom; SG = No. 160; ρ = 8.72 g cm⁻³; Fermi-level density of states = 1.74 states/eV/f.u.
1.0
1.828 1.056 6.695
-1.828 1.056 6.695
0.000 -2.111 6.695
Ge Sb Pd
1 1 2
Cartesian
0.000 0.000 0.000 Ge
0.000 0.000 3.378 Sb
0.000 0.000 11.985 Pd
0.000 0.000 14.810 Pd

(10)
PrSBr (PBE-GGA, relaxed); raw total energy = -5.427 eV per atom; volume = 109.9 Å³/f.u.; total magnetic moment = 0.0 μB/f.u.; raw formation energy = -1.901 eV per atom; SG = No. 156; ρ = 3.82 g cm⁻³; Fermi-level density of states = 0.00 states/eV/f.u.
1.0
4.316 0.000 0.000
-2.158 3.738 0.000
0.000 0.000 6.811
Pr S Br
1 1 1
Cartesian
0.000 0.000 0.000 Pr
0.000 2.492 5.624 S
2.158 1.246 1.859 Br

(11)
KNaTe2Au (PBE-GGA, relaxed); raw total energy = -2.943 eV per atom; volume = 167.6 Å³/f.u.; total magnetic moment = 0.0 μB/f.u.; raw formation energy = -0.548 eV per atom; SG = No. 67; ρ = 5.09 g cm⁻³; Fermi-level density of states = 4.48 states/eV/f.u.
1.0
3.418 -8.298 0.000
3.418 8.298 0.000
0.000 0.000 5.910
K Na Te Au
2 2 4 2
Cartesian
3.418 4.149 4.456 K
3.418 -4.149 1.454 K
1.709 0.000 0.000 Na
5.127 0.000 0.000 Na
3.418 6.102 1.539 Te
3.418 2.196 1.539 Te
3.418 -2.196 4.370 Te
3.418 -6.102 4.370 Te
0.000 0.000 2.955 Au
3.418 0.000 2.955 Au

(12)
TaAl2Ni8 (PBE-GGA, relaxed); raw total energy = -6.266 eV per atom; volume = 133.6 Å³/f.u.; total magnetic moment = 0.0 μB/f.u.; SG = No. 12; ρ = 8.75 g cm⁻³; Fermi-level density of states = 6.64 states/eV/f.u.; formation energy from the elements = -0.3037 eV per atom
1.0
5.889 -2.017 0.000
5.889 2.017 0.000
-3.782 0.000 5.625
Ta Al Ni
1 2 8
Cartesian
0.000 0.000 0.000 Ta
2.617 0.000 1.639 Al
5.379 0.000 3.985 Al
-1.883 0.000 4.065 Ni
0.368 0.000 2.698 Ni
0.243 0.000 5.296 Ni
2.510 0.000 4.064 Ni
5.486 0.000 1.561 Ni
7.753 0.000 0.328 Ni
7.627 0.000 2.927 Ni
9.878 0.000 1.560 Ni

(13)
NbCdO3 (PBE-GGA, relaxed); raw total energy = -7.010 eV per atom; volume = 63.7 Å³/f.u.; total magnetic moment = 0.0 μB/f.u.; raw formation energy = -1.838 eV per atom; SG = No. 63; ρ = 6.60 g cm⁻³; Fermi-level density of states = 2.33 states/eV/f.u.
1.0
3.961 -3.997 0.000
3.961 3.997 0.000
0.000 0.000 8.048
Nb Cd O
4 4 12
Cartesian
1.980 1.999 0.000 Nb
1.980 1.999 4.024 Nb
1.980 -1.999 0.000 Nb
1.980 -1.999 4.024 Nb
3.961 -3.994 2.012 Cd
3.961 3.994 6.036 Cd
3.961 0.111 6.036 Cd
3.961 -0.111 2.012 Cd
2.400 1.910 6.036 O
1.532 0.000 0.000 O
1.532 0.000 4.024 O
3.961 1.566 0.395 O
3.961 1.566 3.630 O
5.522 1.910 6.036 O
2.400 -1.910 2.012 O
3.961 -1.566 4.419 O
3.961 -1.566 7.654 O
6.390 0.000 0.000 O
6.390 0.000 4.024 O
5.522 -1.910 2.012 O

(14)
BaIrCl (PBE-GGA, relaxed); raw total energy = -4.457 eV per atom; volume = 73.5 Å³/f.u.; total magnetic moment = 0.0 μB/f.u.; raw formation energy = -0.247 eV per atom; SG = No. 187; ρ = 8.25 g cm⁻³; Fermi-level density of states = 1.28 states/eV/f.u.
1.0
4.410 0.000 0.000
-2.205 3.819 0.000
0.000 0.000 4.362
Ba Ir Cl
1 1 1
Cartesian
0.000 0.000 0.000 Ba
0.000 2.546 2.181 Ir
2.205 1.273 2.181 Cl

(15)
Na3Ag2Br3Cl2 (PBE-GGA, relaxed); raw total energy = -2.902 eV per atom; volume = 276.8 Å³/f.u.; total magnetic moment = 0.0 μB/f.u.; raw formation energy = -1.065 eV per atom; SG = No. 139; ρ = 3.57 g cm⁻³
1.0
-2.140 2.140 15.103
2.140 -2.140 15.103
2.140 2.140 -15.103
Na Ag Br Cl
3 2 3 2
Cartesian
0.000 0.000 0.000 Na
0.000 0.000 12.177 Na
0.000 0.000 18.030 Na
2.140 0.000 7.552 Ag
0.000 2.140 7.552 Ag
0.000 0.000 3.039 Br
0.000 0.000 15.103 Br
0.000 0.000 27.168 Br
0.000 0.000 9.133 Cl
0.000 0.000 21.074 Cl